Material: Li4VFe3O8
Method: DFT, PBE+U
State: relaxed

extended XYZ file:
```
32
Lattice="5.985 -0.002 0.010 -0.029 5.987 0.014 0.013 0.024 8.444" Properties=species:S:1:pos:R:3 pbc="T T T"
O 2.979 5.881 2.111
O 4.623 4.595 0.077
Fe 1.518 1.523 6.315
O 4.473 4.416 4.199
O 2.990 0.128 6.357
Fe 3.005 0.023 8.449
Li 2.999 0.011 4.227
V 2.985 3.005 4.234
O 1.372 4.538 0.079
O 1.502 4.399 4.172
Fe -0.008 3.005 4.229
Li -0.002 3.017 8.451
Li 1.486 4.508 6.375
Fe 4.488 1.518 6.368
O 1.497 1.593 4.269
O 2.973 3.068 2.154
Li 0.006 0.012 4.222
O -0.015 5.923 2.039
Li 4.480 4.519 6.346
Fe 4.451 4.486 2.153
Li 4.483 1.501 2.093
Fe 1.481 4.491 2.101
V -0.016 6.011 8.458
O 5.958 3.089 2.215
Li 1.489 1.490 2.123
O 0.011 2.920 6.253
Li 2.991 3.016 8.456
O 5.984 0.086 6.429
O 1.346 1.414 8.392
O 4.597 1.471 8.389
O 2.997 2.941 6.315
O 4.467 1.610 4.296
```

Values from the calculation:
* offset from the most stable computed form: 0.28 eV per formula unit
* uncorrected energy: -6.287 eV/atom
* SG: P-1, No. 2